1.
Here is a geometry-optimized TbDy3Y3 structure from Alexandria. Energies are from PBE.

Computed properties:
For the magnetization, the calculation gives 0.00 μB/cell. The energy above the most stable polymorph in this dataset is 0 meV per atom. For the uncorrected energy, the calculation gives -5.260 eV per atom.

Cell: 6.1825 6.1825 42.5676 Å, 90.00 90.00 120.00°
Space group R-3 (No. 148, hexagonal axes)
Asymmetric unit:
Tb 0.0000 0.0000 0.1667
Dy 0.0002 0.3315 0.6331
Y 0.9996 0.3331 0.1000

2.
Here is a geometry-optimized TbDy6Y4 structure from Alexandria. Energies are from PBE.

Computed properties:
For the magnetization, the calculation gives 0.00 μB/cell. The energy above the most stable polymorph in this dataset is 0 meV per atom. For the uncorrected energy, the calculation gives -4.983 eV per atom.

Cell: 6.543 6.543 17.112 Å, 90.00 90.00 90.00°
Space group I-42m (No. 121)
Asymmetric unit:
Tb 0.000 0.000 0.000
Dy 0.000 0.500 0.000
Dy 0.179 0.179 0.630
Y 0.187 0.187 0.826

3.
Here is a geometry-optimized Tb5DyY3 structure from Alexandria. Energies are from PBE.

Computed properties:
For the magnetization, the calculation gives 0.00 μB/cell. The energy above the most stable polymorph in this dataset is 0 meV per atom. For the uncorrected energy, the calculation gives -4.946 eV per atom.

Cell: 18.224 6.332 11.406 Å, 90.00 112.07 90.00°
Space group C2/c (No. 15)
Asymmetric unit:
Tb 0.000 0.102 0.250
Tb 0.169 0.213 0.711
Tb 0.170 0.320 0.372
Dy 0.000 0.375 0.750
Y 0.000 0.500 0.000
Y 0.159 0.192 0.014

4.
Here is a geometry-optimized Tb9Dy11Y4 structure from Alexandria. Energies are from PBE.

Computed properties:
For the magnetization, the calculation gives 0.00 μB/cell. For the uncorrected energy, the calculation gives -4.864 eV per atom.

Cell: 16.689 25.282 3.659 Å, 90.00 90.00 90.00°
Space group Cmmm (No. 65)
Asymmetric unit:
Tb 0.000 0.000 0.000
Tb 0.102 0.233 0.000
Tb 0.140 0.427 0.000
Dy 0.000 0.133 0.500
Dy 0.000 0.339 0.500
Dy 0.000 0.500 0.500
Dy 0.211 0.000 0.500
Dy 0.224 0.319 0.500
Y 0.156 0.101 0.000

5.
Here is a geometry-optimized Tb6Dy2Y3 structure from Alexandria. Energies are from PBE.

Computed properties:
For the magnetization, the calculation gives 0.00 μB/cell. For the uncorrected energy, the calculation gives -5.107 eV per atom.

Cell: 3.5617 3.5617 95.6986 Å, 90.00 90.00 120.00°
Space group R-3m (No. 166, hexagonal axes)
Asymmetric unit:
Tb 0.0000 0.0000 0.0912
Tb 0.0000 0.0000 0.1818
Tb 0.0000 0.0000 0.3637
Dy 0.0000 0.0000 0.4547
Y 0.0000 0.0000 0.0000
Y 0.0000 0.0000 0.2726

6.
Here is a geometry-optimized Tb5DyY4 structure from Alexandria. Energies are from PBE.

Computed properties:
For the magnetization, the calculation gives 0.00 μB/cell. The energy above the most stable polymorph in this dataset is 191 meV per atom. For the uncorrected energy, the calculation gives -5.110 eV per atom.

Cell: 10.576 10.576 5.930 Å, 90.00 90.00 90.00°
Space group I4mm (No. 107)
Asymmetric unit:
Tb 0.000 0.000 0.000
Tb 0.188 0.188 0.735
Dy 0.000 0.000 0.470
Y 0.000 0.322 0.236

7.
Here is a geometry-optimized TbDy2Y8 structure from Alexandria. Energies are from PBE.

Computed properties:
For the magnetization, the calculation gives 0.00 μB/cell. The energy above the most stable polymorph in this dataset is 138 meV per atom. For the uncorrected energy, the calculation gives -5.798 eV per atom.

Cell: 9.038 16.188 5.886 Å, 90.00 123.34 90.00°
Space group C2/m (No. 12)
Asymmetric unit:
Tb 0.000 0.000 0.000
Dy 0.000 0.308 0.500
Y 0.000 0.206 0.000
Y 0.073 0.500 0.794
Y 0.217 0.118 0.676

8.
Here is a geometry-optimized Tb5DyY structure from Alexandria. Energies are from PBE.

Computed properties:
For the magnetization, the calculation gives 0.00 μB/cell. The energy above the most stable polymorph in this dataset is 913 meV per atom. For the uncorrected energy, the calculation gives -3.794 eV per atom.

Cell: 5.802 8.650 11.966 Å, 90.00 90.00 90.00°
Space group Immm (No. 71)
Asymmetric unit:
Tb 0.000 0.000 0.000
Tb 0.000 0.178 0.500
Tb 0.000 0.500 0.255
Dy 0.000 0.500 0.500
Y 0.000 0.500 0.000

9.
Here is a geometry-optimized Tb4Dy10Y structure from Alexandria. Energies are from PBE.

Computed properties:
For the magnetization, the calculation gives 0.00 μB/cell. For the uncorrected energy, the calculation gives -3.996 eV per atom.

Cell: 12.155 12.155 7.684 Å, 90.00 90.00 90.00°
Space group I4/m (No. 87)
Asymmetric unit:
Tb 0.101 0.299 0.000
Dy 0.000 0.500 0.250
Dy 0.100 0.799 0.249
Y 0.000 0.000 0.500

10.
Here is a geometry-optimized TbDy5Y3 structure from Alexandria. Energies are from PBE.

Computed properties:
For the magnetization, the calculation gives 0.00 μB/cell. The energy above the most stable polymorph in this dataset is 235 meV per atom. For the uncorrected energy, the calculation gives -4.694 eV per atom.

Cell: 15.153 11.397 9.961 Å, 90.00 130.25 90.00°
Space group C2/m (No. 12)
Asymmetric unit:
Tb 0.249 0.000 0.098
Dy 0.000 0.243 0.500
Dy 0.154 0.249 0.253
Dy 0.222 0.500 0.539
Dy 0.223 0.000 0.733
Y 0.000 0.000 0.000
Y 0.000 0.500 0.500
Y 0.010 0.000 0.319
Y 0.020 0.500 0.861

11.
Here is a geometry-optimized Tb8DyY6 structure from Alexandria. Energies are from PBE.

Computed properties:
For the magnetization, the calculation gives 0.00 μB/cell. For the uncorrected energy, the calculation gives -5.242 eV per atom.

Cell: 9.0620 9.0620 20.6247 Å, 90.00 90.00 120.00°
Space group R-3 (No. 148, hexagonal axes)
Asymmetric unit:
Tb 0.0000 0.0000 0.0765
Tb 0.0815 0.5542 0.3076
Dy 0.0000 0.0000 0.5000
Y 0.0577 0.2466 0.2070

12.
Here is a geometry-optimized Tb4Dy3Y4 structure from Alexandria. Energies are from PBE.

Computed properties:
For the magnetization, the calculation gives 0.00 μB/cell. The energy above the most stable polymorph in this dataset is 0 meV per atom. For the uncorrected energy, the calculation gives -5.232 eV per atom.

Cell: 3.512 5.616 18.116 Å, 81.10 84.45 90.00°
Space group P-1 (No. 2)
Asymmetric unit:
Tb 0.045 0.045 0.409
Tb 0.180 0.680 0.140
Dy 0.364 0.864 0.773
Dy 0.500 0.500 0.500
Y 0.090 0.590 0.319
Y 0.233 0.233 0.034

13.
Here is a geometry-optimized TbDy2Y6 structure from Alexandria. Energies are from PBE.

Computed properties:
For the magnetization, the calculation gives 0.00 μB/cell. The energy above the most stable polymorph in this dataset is 0 meV per atom. For the uncorrected energy, the calculation gives -5.777 eV per atom.

Cell: 13.404 11.711 9.051 Å, 90.00 125.34 90.00°
Space group C2/c (No. 15)
Asymmetric unit:
Tb 0.000 0.083 0.250
Dy 0.107 0.172 0.695
Y 0.082 0.390 0.987
Y 0.152 0.349 0.406
Y 0.207 0.092 0.134

14.
Here is a geometry-optimized TbDy4Y8 structure from Alexandria. Energies are from PBE.

Computed properties:
For the magnetization, the calculation gives 0.00 μB/cell. For the uncorrected energy, the calculation gives -5.535 eV per atom.

Cell: 7.2975 7.2975 27.4095 Å, 90.00 90.00 120.00°
Space group R-3m (No. 166, hexagonal axes)
Asymmetric unit:
Tb 0.0000 0.0000 0.0000
Dy 0.0000 0.0000 0.5000
Dy 0.0000 0.5000 0.5000
Y 0.0000 0.0000 0.2842
Y 0.0342 0.5171 0.2673

15.
Here is a geometry-optimized Tb8Dy4Y structure from Alexandria. Energies are from PBE.

Computed properties:
For the magnetization, the calculation gives 0.00 μB/cell. For the uncorrected energy, the calculation gives -4.549 eV per atom.

Cell: 7.2824 7.2824 27.3864 Å, 90.00 90.00 120.00°
Space group R-3m (No. 166, hexagonal axes)
Asymmetric unit:
Tb 0.0000 0.0000 0.2159
Tb 0.0365 0.5182 0.7671
Dy 0.0000 0.0000 0.0000
Dy 0.0000 0.5000 0.0000
Y 0.0000 0.0000 0.5000

16.
Here is a geometry-optimized Tb5DyY structure from Alexandria. Energies are from PBE.

Computed properties:
For the magnetization, the calculation gives 0.00 μB/cell. The energy above the most stable polymorph in this dataset is 0 meV per atom. For the uncorrected energy, the calculation gives -4.707 eV per atom.

Cell: 11.732 6.737 12.229 Å, 90.00 110.50 90.00°
Space group C2/c (No. 15)
Asymmetric unit:
Tb 0.000 0.083 0.250
Tb 0.079 0.237 0.001
Tb 0.219 0.136 0.746
Dy 0.000 0.473 0.750
Y 0.250 0.250 0.500

17.
Here is a geometry-optimized Tb2Dy5Y2 structure from Alexandria. Energies are from PBE.

Computed properties:
For the magnetization, the calculation gives 0.00 μB/cell. The energy above the most stable polymorph in this dataset is 98 meV per atom. For the uncorrected energy, the calculation gives -4.804 eV per atom.

Cell: 14.865 11.734 6.704 Å, 90.00 90.00 90.00°
Space group Ima2 (No. 46)
Asymmetric unit:
Tb 0.000 0.000 0.000
Tb 0.250 0.011 0.910
Dy 0.052 0.746 0.307
Dy 0.143 0.236 0.126
Dy 0.250 0.749 0.615
Y 0.127 0.503 0.960

18.
Here is a geometry-optimized Tb8DyY4 structure from Alexandria. Energies are from PBE.

Computed properties:
For the magnetization, the calculation gives 0.01 μB/cell. For the uncorrected energy, the calculation gives -4.676 eV per atom.

Cell: 11.0196 11.0196 13.4280 Å, 90.00 90.00 120.00°
Space group R-3m (No. 166, hexagonal axes)
Asymmetric unit:
Tb 0.0000 0.0000 0.2409
Tb 0.0110 0.5055 0.7462
Dy 0.0000 0.0000 0.5000
Y 0.0000 0.0000 0.0000
Y 0.0000 0.5000 0.0000

19.
Here is a geometry-optimized TbDy6Y structure from Alexandria. Energies are from PBE.

Computed properties:
For the magnetization, the calculation gives 0.00 μB/cell. The energy above the most stable polymorph in this dataset is 183 meV per atom. For the uncorrected energy, the calculation gives -4.634 eV per atom.

Cell: 6.541 6.724 6.927 Å, 118.83 103.35 90.31°
Space group P-1 (No. 2)
Asymmetric unit:
Tb 0.000 0.000 0.000
Dy 0.229 0.905 0.478
Dy 0.250 0.453 0.001
Dy 0.270 0.427 0.522
Y 0.500 0.000 0.000